Density functional theory data (PBE) for an optimized crystal structure of MgMnCuRh.

a b c (Å): 6.1372 6.1372 6.1372
angles (deg): 90.00 90.00 90.00
Last column: nearest neighbours and their distance in Å.
Space group F-43m (No. 216)
Symmetry-distinct sites (fractional):
Mg 0.0000 0.0000 0.0000 (multiplicity 4)  4 Rh 2.66, 4 Cu 2.66
Mn 0.0000 0.0000 0.5000 (multiplicity 4)  4 Cu 2.66, 4 Rh 2.66
Cu 0.2500 0.2500 0.7500 (multiplicity 4)  4 Mn 2.66, 4 Mg 2.66
Rh 0.2500 0.2500 0.2500 (multiplicity 4)  4 Mn 2.66, 4 Mg 2.66

Output
Calculated volume ... 14.4 Å³ per atom
E ... -5.72 eV per atom
Magnetization ... 4.25 μB/f.u.
Energy relative to the elements ... -169 meV per atom


Density functional theory data (PBE) for an optimized crystal structure of AcPm2Tc.

a b c (Å): 4.8794 4.8794 17.6353
angles (deg): 90.00 90.00 120.00
Last column: nearest neighbours and their distance in Å.
Space group R-3m (No. 166, hexagonal axes)
Symmetry-distinct sites (fractional):
Ac 0.0000 0.0000 0.0000 (multiplicity 3)  6 Pm 3.45
Pm 0.0000 0.0000 0.2205 (multiplicity 6)  3 Tc 2.97
Tc 0.0000 0.0000 0.5000 (multiplicity 3)  6 Pm 2.97

Output
Calculated volume ... 30.3 Å³ per atom
E ... -5.69 eV per atom
Energy above the most stable polymorph in this dataset ... 268 meV/atom
Magnetization ... 0.00 μB/f.u.
Energy relative to the elements ... 309 meV per atom


Density functional theory data (PBE) for an optimized crystal structure of NbCuBiBr2.

a b c (Å): 5.6703 5.6703 5.8416
angles (deg): 90.00 90.00 90.00
Last column: nearest neighbours and their distance in Å.
Space group P4/mmm (No. 123)
Symmetry-distinct sites (fractional):
Nb 0.0000 0.0000 0.0000 (multiplicity 1)  2 Bi 2.92
Cu 0.5000 0.5000 0.0000 (multiplicity 1)  4 Nb 4.01, 8 Br 4.07
Bi 0.0000 0.0000 0.5000 (multiplicity 1)  4 Br 2.84, 2 Nb 2.92
Br 0.0000 0.5000 0.5000 (multiplicity 2)  2 Bi 2.84

Output
Calculated volume ... 37.6 Å³ per atom
E ... -3.16 eV per atom
Formation energy without anion corrections ... 1.118 eV per atom
Magnetization ... 3.05 μB/f.u.